This record from Alexandria describes a relaxed NbTeH2PdI crystal. The functional is PBE.

Results
Energy (hartree per atom): -0.1714

Cell lengths 3.4730, 4.3876, 16.5653 Å; angles 90.00, 90.00, 90.00 degrees
Last column: nearest neighbours and their distance in Å.
Space group Amm2 (No. 38)
Asymmetric unit:
Nb 0.0000 0.0000 0.0000 x2  2 H 1.87
Te 0.5000 0.0000 0.8618 x2  2 Pd 2.68, 2 Nb 2.87, 1 H 2.98
H 0.0000 0.0000 0.4971 x2  2 Pd 1.87
H 0.5000 0.0000 0.0419 x2  2 Nb 1.87
Pd 0.5000 0.0000 0.4550 x2  2 H 1.87
I 0.0000 0.0000 0.1660 x2  2 H 2.69, 1 Nb 2.75

=====

This record from Alexandria describes a relaxed Y2ZrCo crystal. The functional is PBE.

Results
Energy (hartree per atom): -0.2506

Cell lengths 4.2166, 4.2166, 10.3305 Å; angles 90.00, 90.00, 90.00 degrees
Last column: nearest neighbours and their distance in Å.
Space group I-4m2 (No. 119)
Asymmetric unit:
Y 0.0000 0.0000 0.0000 x2  4 Co 2.98, 4 Zr 3.33, 4 Y 3.33
Y 0.0000 0.5000 0.2500 x2  4 Zr 2.98, 4 Co 3.33, 4 Y 3.33
Zr 0.0000 0.5000 0.7500 x2  8 Y 2.98-3.33, 4 Co 3.33
Co 0.0000 0.0000 0.5000 x2  8 Y 2.98-3.33, 4 Zr 3.33

=====

This record from Alexandria describes a relaxed Cs3TlZn2F8 crystal. The functional is PBE.

Results
Raw formation energy (kJ/mol of atoms): -234.91

Cell lengths 6.6391, 6.6391, 8.5515 Å; angles 90.00, 90.00, 120.00 degrees
Last column: nearest neighbours and their distance in Å.
Space group P-3m1 (No. 164)
Asymmetric unit:
Cs 0.0000 0.0000 0.0000 x1  6 F 3.26
Cs 0.3333 0.6667 0.6561 x2  1 F 2.77
Tl 0.0000 0.0000 0.5000 x1  6 F 2.70
Zn 0.3333 0.6667 0.2010 x2  4 F 1.89-1.95
F 0.1792 0.3584 0.2951 x6  1 Zn 1.95
F 0.3333 0.6667 0.9801 x2  1 Zn 1.89

=====

This record from Alexandria describes a relaxed Dy3CuI3 crystal. The functional is PBE.

Results
Raw formation energy (kJ/mol of atoms): -81.29

Cell lengths 12.0944, 12.0944, 12.0944 Å; angles 90.00, 90.00, 90.00 degrees
Last column: nearest neighbours and their distance in Å.
Space group I4_132 (No. 214)
Asymmetric unit:
Dy 0.1034 0.3534 0.1250 x24  2 Cu 2.77
Cu 0.1250 0.1250 0.1250 x8  6 Dy 2.77
I 0.1164 0.1336 0.6250 x24  4 Dy 3.16-3.31

=====

This record from Alexandria describes a relaxed La3TmTe6 crystal. The functional is PBE.

Results
Raw formation energy (kJ/mol of atoms): -143.00

Cell lengths 14.0160, 14.0160, 13.1533 Å; angles 90.00, 90.00, 120.00 degrees
Last column: nearest neighbours and their distance in Å.
Space group R-3 (No. 148, hexagonal axes)
Asymmetric unit:
La 0.0491 0.6095 0.3194 x18  6 Te 3.15-3.39
Tm 0.0000 0.0000 0.0000 x3  6 Te 3.00
Tm 0.0000 0.0000 0.5000 x3  6 Te 3.04
Te 0.0353 0.8296 0.3893 x18  1 Tm 3.04, 3 La 3.24-3.39
Te 0.0507 0.8469 0.8827 x18  1 Tm 3.00, 2 La 3.15-3.21

=====

This record from Alexandria describes a relaxed SrMnNb2 crystal. The functional is PBE.

Results
Energy (hartree per atom): -0.2399

Cell lengths 5.1998, 5.1998, 16.2415 Å; angles 90.00, 90.00, 90.00 degrees
Last column: nearest neighbours and their distance in Å.
Space group I4_1/amd (No. 141, origin choice 2)
Asymmetric unit:
Sr 0.0000 0.2500 0.3750 x4  8 Nb 3.55, 4 Mn 3.68
Mn 0.0000 0.2500 0.8750 x4  4 Nb 2.41
Nb 0.0000 0.0000 0.0000 x8  2 Mn 2.41, 2 Nb 2.60

=====

This record from Alexandria describes a relaxed Nd2HoHg4 crystal. The functional is PBE.

Results
Energy (hartree per atom): -0.0820

Cell lengths 5.6210, 5.6210, 15.6654 Å; angles 90.00, 90.00, 90.00 degrees
Last column: nearest neighbours and their distance in Å.
Space group I4/mmm (No. 139)
Asymmetric unit:
Nd 0.0000 0.0000 0.1071 x4  5 Hg 3.15-3.27, 1 Nd 3.36
Ho 0.0000 0.0000 0.5000 x2  6 Hg 2.81-3.01
Hg 0.0000 0.0000 0.3080 x4  1 Ho 3.01, 1 Nd 3.15
Hg 0.0000 0.5000 0.0000 x4  2 Ho 2.81

=====

This record from Alexandria describes a relaxed Nd2Ho3Rh2 crystal. The functional is PBE.

Results
Energy (hartree per atom): -0.2198

Cell lengths 12.2624, 3.7765, 9.0510 Å; angles 90.00, 116.65, 90.00 degrees
Last column: nearest neighbours and their distance in Å.
Space group C2/m (No. 12)
Asymmetric unit:
Nd 0.1640 0.0000 0.3068 x4  2 Rh 2.94
Ho 0.0000 0.5000 0.5000 x2  4 Rh 2.94
Ho 0.1176 0.5000 0.9303 x4  3 Rh 2.81-2.93
Rh 0.1713 0.0000 0.7430 x4  5 Ho 2.81-2.94, 2 Nd 2.94